# CuSb2Br

CuSb2Br after structural relaxation (GGA-PBE, the Alexandria database).

Summary:
The calculation puts the volume at 26.76 Å³/atom. For the formation energy from raw total energies, the calculation gives 28 meV/atom. The symmetry is Imm2, No. 44. Its total energy is -27.8 eV/cell.

abc: 3.719 3.931 14.644
angles: 90.00 90.00 90.00
Fractional coordinates of all 8 atoms:
Cu: 0.000 0.000 0.000
Cu: 0.500 0.500 0.500
Sb: 0.000 0.000 0.531
Sb: 0.000 0.500 0.368
Sb: 0.500 0.000 0.868
Sb: 0.500 0.500 0.031
Br: 0.000 0.500 0.743
Br: 0.500 0.000 0.243